The following is a DFT calculation (meta-GGA SCAN) of a crystal of CrFe2Os relaxed with PBEsol.

Computed properties:
- Total energy: -31.42 eV per atom
- Volume: 47.0 Å³/cell
- SG: R3m
- Total magnetic moment: 5.04 Bohr magnetons per cell

The structure in extended XYZ format:
```
4
Lattice="2.584 0.000 0.000 1.292 2.238 0.000 1.292 0.746 8.136" Properties=species:S:1:pos:R:3 pbc="T T T"
Cr 3.876 2.238 6.200
Fe 1.292 0.746 8.133
Fe 1.292 0.746 1.949
Os 2.584 1.492 4.059
```